--- P ---
The following is a PBE calculation of a relaxed TaBeTl crystal, from Alexandria.

a = 2.985 Å, b = 5.661 Å, c = 6.574 Å
α = 105.19°, β = 90.06°, γ = 90.01°
Element x y z (fractional)
Ta (0.000, 0.000, 0.000)
Ta (0.003, 0.527, 0.067)
Be (0.502, 0.288, 0.285)
Be (0.503, 0.899, 0.279)
Tl (0.003, 0.672, 0.556)
Tl (0.502, 0.212, 0.669)

## Properties
DOS(E_F) ... 3.035 states/eV/cell

***

--- Q ---
The following is a PBE calculation of a relaxed TaBeTl crystal, from Alexandria.

a = 3.811 Å, b = 3.811 Å, c = 8.956 Å
α = 90.00°, β = 90.00°, γ = 120.00°
Element x y z (fractional)
Ta (0.000, 0.000, 0.000)
Ta (0.333, 0.667, 0.782)
Be (0.667, 0.333, 0.143)
Be (0.667, 0.333, 0.898)
Tl (0.333, 0.667, 0.273)
Tl (0.667, 0.333, 0.535)

## Properties
DOS(E_F) ... 2.456 states/eV/cell

***

--- R ---
The following is a PBE calculation of a relaxed TaBeTl crystal, from Alexandria.

a = 5.212 Å, b = 5.212 Å, c = 6.812 Å
α = 123.35°, β = 123.35°, γ = 41.43°
Element x y z (fractional)
Ta (0.099, 0.099, 0.378)
Ta (0.901, 0.901, 0.622)
Be (0.380, 0.380, 0.352)
Be (0.620, 0.620, 0.648)
Tl (0.328, 0.328, 0.915)
Tl (0.672, 0.672, 0.085)

## Properties
DOS(E_F) ... 0.981 states/eV/cell

***

Referenced to the most stable arrangement, the calculated values in meV per atom are P 135; Q 96; R 0.

***

--- P ---
The following is a PBE calculation of a relaxed TaBeTl2 crystal, from Alexandria.

a = 3.076 Å, b = 4.286 Å, c = 5.981 Å
α = 90.00°, β = 90.98°, γ = 90.00°
Element x y z (fractional)
Ta (0.000, 0.000, 0.000)
Be (0.500, 0.000, 0.500)
Tl (0.457, 0.500, 0.746)
Tl (0.543, 0.500, 0.254)

## Properties
DOS(E_F) ... 1.787 states/eV/cell

***

--- Q ---
The following is a PBE calculation of a relaxed TaBeTl2 crystal, from Alexandria.

a = 2.987 Å, b = 2.987 Å, c = 9.738 Å
α = 90.00°, β = 90.00°, γ = 90.00°
Element x y z (fractional)
Ta (0.000, 0.000, 0.000)
Be (0.500, 0.500, 0.850)
Tl (0.000, 0.000, 0.615)
Tl (0.500, 0.500, 0.266)

## Properties
DOS(E_F) ... 2.098 states/eV/cell

***

Referenced to the most stable arrangement, the calculated values in meV per atom are P 330; Q 0.

***

--- P ---
The following is a PBE calculation of a relaxed TaBeTl2 crystal, from Alexandria.

a = 5.973 Å, b = 5.973 Å, c = 5.973 Å
α = 103.20°, β = 103.20°, γ = 122.91°
Element x y z (fractional)
Ta (0.000, 0.000, 0.000)
Ta (0.750, 0.250, 0.500)
Be (0.250, 0.750, 0.500)
Be (0.500, 0.500, 0.000)
Tl (0.175, 0.125, 0.550)
Tl (0.375, 0.825, 0.950)
Tl (0.575, 0.625, 0.450)
Tl (0.875, 0.425, 0.050)

## Properties
DOS(E_F) ... 6.208 states/eV/cell

***

--- Q ---
The following is a PBE calculation of a relaxed TaBeTl2 crystal, from Alexandria.

a = 4.874 Å, b = 4.874 Å, c = 4.874 Å
α = 60.00°, β = 60.00°, γ = 60.00°
Element x y z (fractional)
Ta (0.000, 0.000, 0.000)
Be (0.500, 0.500, 0.500)
Tl (0.250, 0.250, 0.250)
Tl (0.750, 0.750, 0.750)

## Properties
DOS(E_F) ... 3.435 states/eV/cell

***

Referenced to the most stable arrangement, the calculated values in meV per atom are P 0; Q 235.

***

--- P ---
The following is a PBE calculation of a relaxed TaBeTl2 crystal, from Alexandria.

a = 6.000 Å, b = 6.000 Å, c = 6.000 Å
α = 150.31°, β = 130.85°, γ = 58.48°
Element x y z (fractional)
Ta (0.000, 0.000, 0.000)
Be (0.811, 0.311, 0.500)
Tl (0.272, 0.772, 0.500)
Tl (0.554, 0.554, 0.000)

## Properties
DOS(E_F) ... 1.569 states/eV/cell

***

--- Q ---
The following is a PBE calculation of a relaxed TaBeTl2 crystal, from Alexandria.

a = 3.186 Å, b = 3.186 Å, c = 9.279 Å
α = 90.00°, β = 90.00°, γ = 121.00°
Element x y z (fractional)
Ta (0.000, 0.000, 0.000)
Be (0.000, 0.000, 0.500)
Tl (0.500, 0.500, 0.274)
Tl (0.500, 0.500, 0.726)

## Properties
DOS(E_F) ... 2.394 states/eV/cell

***

Referenced to the most stable arrangement, the calculated values in meV per atom are P 0; Q 132.

***

--- P ---
The following is a PBE calculation of a relaxed TaBeTl2 crystal, from Alexandria.

a = 5.683 Å, b = 5.683 Å, c = 5.174 Å
α = 116.56°, β = 116.56°, γ = 31.50°
Element x y z (fractional)
Ta (0.000, 0.000, 0.000)
Be (0.500, 0.500, 0.500)
Tl (0.218, 0.218, 0.718)
Tl (0.782, 0.782, 0.282)

## Properties
DOS(E_F) ... 2.113 states/eV/cell

***

--- Q ---
The following is a PBE calculation of a relaxed TaBeTl2 crystal, from Alexandria.

a = 4.904 Å, b = 4.904 Å, c = 4.904 Å
α = 60.00°, β = 60.00°, γ = 60.00°
Element x y z (fractional)
Ta (0.000, 0.000, 0.000)
Be (0.750, 0.750, 0.750)
Tl (0.250, 0.250, 0.250)
Tl (0.500, 0.500, 0.500)

## Properties
DOS(E_F) ... 4.979 states/eV/cell

***

Referenced to the most stable arrangement, the calculated values in meV per atom are P 0; Q 411.

***

--- P ---
The following is a PBE calculation of a relaxed TaBeTl2 crystal, from Alexandria.

a = 3.019 Å, b = 5.136 Å, c = 5.307 Å
α = 90.00°, β = 90.00°, γ = 90.00°
Element x y z (fractional)
Ta (0.000, 0.000, 0.000)
Be (0.500, 0.000, 0.500)
Tl (0.000, 0.500, 0.500)
Tl (0.500, 0.500, 0.000)

## Properties
DOS(E_F) ... 2.426 states/eV/cell

***

--- Q ---
The following is a PBE calculation of a relaxed TaBeTl2 crystal, from Alexandria.

a = 4.334 Å, b = 4.334 Å, c = 4.132 Å
α = 90.00°, β = 90.00°, γ = 90.00°
Element x y z (fractional)
Ta (0.000, 0.000, 0.000)
Be (0.500, 0.500, 0.000)
Tl (0.000, 0.500, 0.500)
Tl (0.500, 0.000, 0.500)

## Properties
DOS(E_F) ... 1.612 states/eV/cell

***

--- R ---
The following is a PBE calculation of a relaxed TaBeTl2 crystal, from Alexandria.

a = 3.431 Å, b = 3.431 Å, c = 6.541 Å
α = 90.00°, β = 90.00°, γ = 90.00°
Element x y z (fractional)
Ta (0.000, 0.000, 0.000)
Be (0.000, 0.000, 0.500)
Tl (0.500, 0.500, 0.274)
Tl (0.500, 0.500, 0.726)

## Properties
DOS(E_F) ... 3.144 states/eV/cell

***

Referenced to the most stable arrangement, the calculated values in meV per atom are P 29; Q 0; R 56.

***

--- P ---
The following is a PBE calculation of a relaxed TaBeTl2 crystal, from Alexandria.

a = 3.045 Å, b = 3.736 Å, c = 7.374 Å
α = 90.00°, β = 90.00°, γ = 90.00°
Element x y z (fractional)
Ta (0.000, 0.000, 0.000)
Be (0.500, 0.500, 0.907)
Tl (0.500, 0.000, 0.635)
Tl (0.500, 0.500, 0.284)

## Properties
DOS(E_F) ... 2.244 states/eV/cell

***

--- Q ---
The following is a PBE calculation of a relaxed TaBeTl2 crystal, from Alexandria.

a = 9.257 Å, b = 9.257 Å, c = 9.257 Å
α = 19.63°, β = 19.63°, γ = 19.63°
Element x y z (fractional)
Ta (0.000, 0.000, 0.000)
Be (0.500, 0.500, 0.500)
Tl (0.241, 0.241, 0.241)
Tl (0.759, 0.759, 0.759)

## Properties
DOS(E_F) ... 2.436 states/eV/cell

***

--- R ---
The following is a PBE calculation of a relaxed TaBeTl2 crystal, from Alexandria.

a = 5.560 Å, b = 5.560 Å, c = 5.560 Å
α = 137.47°, β = 137.47°, γ = 61.71°
Element x y z (fractional)
Ta (0.000, 0.000, 0.000)
Be (0.750, 0.250, 0.500)
Tl (0.250, 0.750, 0.500)
Tl (0.500, 0.500, 0.000)

## Properties
DOS(E_F) ... 1.790 states/eV/cell

***

Referenced to the most stable arrangement, the calculated values in meV per atom are P 0; Q 161; R 225.

***

--- P ---
The following is a PBE calculation of a relaxed TaBe3Tl crystal, from Alexandria.

a = 4.612 Å, b = 4.612 Å, c = 4.612 Å
α = 90.00°, β = 90.00°, γ = 90.00°
Element x y z (fractional)
Ta (0.000, 0.000, 0.000)
Be (0.000, 0.000, 0.500)
Be (0.000, 0.500, 0.000)
Be (0.500, 0.000, 0.000)
Tl (0.500, 0.500, 0.500)

## Properties
DOS(E_F) ... 3.448 states/eV/cell

***

--- Q ---
The following is a PBE calculation of a relaxed TaBe3Tl crystal, from Alexandria.

a = 4.377 Å, b = 4.377 Å, c = 4.377 Å
α = 90.00°, β = 90.00°, γ = 90.00°
Element x y z (fractional)
Ta (0.000, 0.000, 0.000)
Be (0.000, 0.500, 0.500)
Be (0.500, 0.000, 0.500)
Be (0.500, 0.500, 0.000)
Tl (0.500, 0.500, 0.500)

## Properties
DOS(E_F) ... 1.907 states/eV/cell

***

Referenced to the most stable arrangement, the calculated values in meV per atom are P 0; Q 110.